1.
MgSi2Sb | PBE | relaxed

Cell: 4.8489 4.8489 4.8489 Å, 60.00 60.00 60.00°
Last column: nearest neighbours and their distance in Å.
Positions (direct):
1 Mg 0.5000 0.5000 0.5000  4 Sb 2.97, 4 Si 2.97
2 Sb 0.7500 0.7500 0.7500  4 Mg 2.97, 4 Si 2.97
3 Si 0.0000 0.0000 0.0000  4 Si 2.97, 4 Sb 2.97
4 Si 0.2500 0.2500 0.2500  4 Si 2.97, 4 Mg 2.97

Calculated values
* energy relative to the elements, uncorrected: 0.426 eV/atom
* energy: -14.9 eV per cell
* space-group type: F-43m (216)
* relative energy among the computed polymorphs: 1.12 eV/f.u.

2.
Mg3SiSb | PBE | relaxed

Cell: 5.0085 5.0085 5.0085 Å, 90.00 90.00 90.00°
Last column: nearest neighbours and their distance in Å.
Positions (direct):
1 Sb 0.5000 0.5000 0.5000  12 Mg 3.54
2 Si 0.0000 0.0000 0.0000  6 Mg 2.50
3 Mg 0.0000 0.5000 0.0000  2 Si 2.50
4 Mg 0.0000 0.0000 0.5000  2 Si 2.50
5 Mg 0.5000 0.0000 0.0000  2 Si 2.50

Calculated values
* energy relative to the elements, uncorrected: 0.064 eV/atom
* energy: -14.0 eV per cell
* space-group type: Pm-3m (221)
* relative energy among the computed polymorphs: 0.00 eV/f.u.

3.
MgSi2Sb | PBE | relaxed

Cell: 6.2614 6.2614 7.2960 Å, 64.59 64.59 90.00°
Last column: nearest neighbours and their distance in Å.
Positions (direct):
1 Sb 0.0000 0.0000 0.0000  4 Si 2.63
2 Sb 0.7500 0.2500 0.5000  4 Si 2.63
3 Si 0.6296 0.1250 0.2500  2 Sb 2.63, 2 Mg 2.66
4 Si 0.1204 0.6250 0.2500  2 Sb 2.63, 2 Mg 2.66
5 Si 0.3750 0.3704 0.7500  2 Sb 2.63, 2 Mg 2.66
6 Si 0.8750 0.8796 0.7500  2 Sb 2.63, 2 Mg 2.66
7 Mg 0.5000 0.5000 0.0000  4 Si 2.66
8 Mg 0.2500 0.7500 0.5000  4 Si 2.66

Calculated values
* energy relative to the elements, uncorrected: 0.393 eV/atom
* energy: -30.0 eV per cell
* space-group type: I-42d (122)
* relative energy among the computed polymorphs: 0.98 eV/f.u.

4.
MgSi2Sb2 | PBE | relaxed

Cell: 3.4757 3.4757 9.4880 Å, 79.45 79.45 90.00°
Last column: nearest neighbours and their distance in Å.
Positions (direct):
1 Sb 0.3919 0.3919 0.2163  4 Si 3.13, 4 Mg 3.16, 4 Sb 3.48
2 Sb 0.6081 0.6081 0.7837  4 Si 3.13, 4 Mg 3.16, 4 Sb 3.48
3 Si 0.7500 0.2500 0.5000  4 Si 2.46
4 Si 0.2500 0.7500 0.5000  4 Si 2.46
5 Mg 0.0000 0.0000 0.0000  8 Sb 3.16, 4 Mg 3.48

Calculated values
* energy relative to the elements, uncorrected: 0.192 eV/atom
* energy: -19.7 eV per cell
* space-group type: I4/mmm (139)
* relative energy among the computed polymorphs: 0.00 eV/f.u.

5.
MgSi2Sb | PBE | relaxed

Cell: 4.7075 4.7075 3.7237 Å, 90.00 90.00 104.24°
Last column: nearest neighbours and their distance in Å.
Positions (direct):
1 Mg 0.5000 0.0000 0.5000  2 Sb 2.89, 8 Si 3.00
2 Sb 0.0000 0.5000 0.5000  2 Mg 2.89, 8 Si 3.00
3 Si 0.0000 0.0000 0.0000  2 Si 2.89, 4 Sb 3.00, 4 Mg 3.00
4 Si 0.5000 0.5000 0.0000  2 Si 2.89, 4 Mg 3.00, 4 Sb 3.00

Calculated values
* energy relative to the elements, uncorrected: 0.312 eV/atom
* energy: -15.3 eV per cell
* space-group type: Cmmm (65)
* relative energy among the computed polymorphs: 0.66 eV/f.u.

6.
MgSi2Sb | PBE | relaxed

Cell: 4.1111 4.1157 4.6727 Å, 90.00 90.00 90.00°
Last column: nearest neighbours and their distance in Å.
Positions (direct):
1 Mg 0.5000 0.0000 0.5000  4 Sb 2.91, 8 Si 3.11
2 Sb 0.0000 0.5000 0.5000  4 Mg 2.91, 8 Si 3.11
3 Si 0.0000 0.0000 0.0000  4 Si 2.91, 4 Mg 3.11, 4 Sb 3.11
4 Si 0.5000 0.5000 0.0000  4 Si 2.91, 4 Sb 3.11, 4 Mg 3.11

Calculated values
* energy relative to the elements, uncorrected: 0.345 eV/atom
* energy: -15.2 eV per cell
* space-group type: P4/mmm (123)
* relative energy among the computed polymorphs: 0.79 eV/f.u.

7.
MgSi2Sb | PBE | relaxed

Cell: 4.8477 4.8477 4.8477 Å, 60.00 60.00 60.00°
Last column: nearest neighbours and their distance in Å.
Positions (direct):
1 Sb 0.5000 0.5000 0.5000  8 Si 2.97
2 Si 0.2500 0.2500 0.2500  4 Sb 2.97, 4 Mg 2.97
3 Si 0.7500 0.7500 0.7500  4 Sb 2.97, 4 Mg 2.97
4 Mg 0.0000 0.0000 0.0000  8 Si 2.97

Calculated values
* energy relative to the elements, uncorrected: 0.416 eV/atom
* energy: -14.9 eV per cell
* space-group type: Fm-3m (225)
* relative energy among the computed polymorphs: 1.08 eV/f.u.

8.
MgSiSb | PBE | relaxed

Cell: 3.8734 3.9004 5.0017 Å, 89.95 67.16 89.98°
Last column: nearest neighbours and their distance in Å.
Positions (direct):
1 Mg 0.9589 0.5950 0.0396  3 Si 2.70-2.73
2 Si 0.6671 0.5561 0.6236  3 Mg 2.70-2.73, 4 Sb 2.82-2.87
3 Sb 0.2485 0.0639 0.4627  4 Si 2.82-2.87

Calculated values
* energy relative to the elements, uncorrected: 0.120 eV/atom
* energy: -10.8 eV per cell
* space-group type: Cm (8)
* relative energy among the computed polymorphs: 0.36 eV/f.u.

9.
MgSiSb | PBE | relaxed

Cell: 6.2116 3.5635 6.5702 Å, 90.00 95.55 90.00°
Last column: nearest neighbours and their distance in Å.
Positions (direct):
1 Mg 0.6810 0.2500 0.3541  3 Si 2.77-3.01, 3 Sb 3.02-3.07
2 Mg 0.3190 0.7500 0.6459  3 Si 2.77-3.01, 3 Sb 3.02-3.07
3 Si 0.3761 0.2500 0.9694  2 Si 2.36, 1 Sb 2.60
4 Si 0.6239 0.7500 0.0306  2 Si 2.36, 1 Sb 2.60
5 Sb 0.1638 0.2500 0.2913  1 Si 2.60
6 Sb 0.8362 0.7500 0.7087  1 Si 2.60

Calculated values
* energy relative to the elements, uncorrected: -0.002 eV/atom
* energy: -22.3 eV per cell
* space-group type: P2_1/m (11)
* relative energy among the computed polymorphs: 0.00 eV/f.u.

10.
MgSiSb | PBE | relaxed

Cell: 4.6759 3.7952 8.1577 Å, 90.00 92.50 90.00°
Last column: nearest neighbours and their distance in Å.
Positions (direct):
1 Mg 0.3490 0.5385 0.3286  1 Si 2.79, 5 Sb 2.99-3.09
2 Mg 0.6510 0.0385 0.6714  1 Si 2.79, 5 Sb 2.99-3.09
3 Si 0.6475 0.0337 0.0129  2 Si 2.35, 1 Sb 2.61
4 Si 0.3525 0.5337 0.9871  2 Si 2.35, 1 Sb 2.61
5 Sb 0.8531 0.0378 0.3161  1 Si 2.61
6 Sb 0.1469 0.5378 0.6839  1 Si 2.61

Calculated values
* energy relative to the elements, uncorrected: 0.036 eV/atom
* energy: -22.1 eV per cell
* space-group type: P2_1 (4)
* relative energy among the computed polymorphs: 0.11 eV/f.u.

11.
MgSi2Sb | PBE | relaxed

Cell: 3.2178 3.2178 7.6078 Å, 90.00 90.00 90.00°
Last column: nearest neighbours and their distance in Å.
Positions (direct):
1 Mg 0.5000 0.5000 0.2500  8 Si 2.91, 4 Mg 3.22
2 Sb 0.5000 0.5000 0.7500  8 Si 3.02, 4 Sb 3.22
3 Si 0.0000 0.0000 0.0115  4 Mg 2.91, 4 Sb 3.02, 4 Si 3.22
4 Si 0.0000 0.0000 0.4885  4 Mg 2.91, 4 Sb 3.02, 4 Si 3.22

Calculated values
* energy relative to the elements, uncorrected: 0.382 eV/atom
* energy: -15.0 eV per cell
* space-group type: P4/mmm (123)
* relative energy among the computed polymorphs: 0.94 eV/f.u.

12.
MgSi2Sb | PBE | relaxed

Cell: 3.2823 3.2823 7.5178 Å, 90.00 90.00 90.00°
Last column: nearest neighbours and their distance in Å.
Positions (direct):
1 Mg 0.0000 0.0000 0.4594  5 Si 2.87-3.00
2 Sb 0.5000 0.5000 0.7570  4 Mg 3.22, 4 Sb 3.28, 5 Si 3.35-3.37
3 Si 0.0000 0.0000 0.0779  4 Si 2.51
4 Si 0.5000 0.5000 0.2058  4 Si 2.51

Calculated values
* energy relative to the elements, uncorrected: 0.232 eV/atom
* energy: -15.6 eV per cell
* space-group type: P4mm (99)
* relative energy among the computed polymorphs: 0.34 eV/f.u.